1.
LaSm2Pd2: optimized geometry, PBE.

Geometry as CIF:
```
data_LaSm2Pd2
_chemical_formula_sum 'La2 Sm4 Pd4'
_space_group_name_H-M_alt 'P 1'
_space_group_IT_number 1
_cell_length_a 8.0815
_cell_length_b 8.0815
_cell_length_c 3.9862
_cell_angle_alpha 90.00
_cell_angle_beta 90.00
_cell_angle_gamma 90.00
loop_
_space_group_symop_operation_xyz
'x,y,z'
loop_
_atom_site_label
_atom_site_type_symbol
_atom_site_fract_x
_atom_site_fract_y
_atom_site_fract_z
_atom_site_occupancy
La1 La 0.0000 0.0000 0.0000 1
La2 La 0.5000 0.5000 0.0000 1
Sm1 Sm 0.1636 0.3364 0.5000 1
Sm2 Sm 0.3364 0.8364 0.5000 1
Sm3 Sm 0.6636 0.1636 0.5000 1
Sm4 Sm 0.8364 0.6636 0.5000 1
Pd1 Pd 0.1272 0.6272 0.0000 1
Pd2 Pd 0.3728 0.1272 0.0000 1
Pd3 Pd 0.6272 0.8728 0.0000 1
Pd4 Pd 0.8728 0.3728 0.0000 1
```

Computed properties:
- Formation energy: -633 meV/atom
- Total energy: -5.583 eV per atom
- Energy above the lowest structure with this stoichiometry: 0 meV per atom
- Spin magnetization: 0.00 μB/f.u.

---

2.
Ti6CoPb3: optimized geometry, PBE.

Geometry as CIF:
```
data_Ti6CoPb3
_chemical_formula_sum 'Ti6 Co1 Pb3'
_space_group_name_H-M_alt 'P 1'
_space_group_IT_number 1
_cell_length_a 6.0802
_cell_length_b 6.0802
_cell_length_c 7.2550
_cell_angle_alpha 109.02
_cell_angle_beta 109.02
_cell_angle_gamma 59.37
loop_
_space_group_symop_operation_xyz
'x,y,z'
loop_
_atom_site_label
_atom_site_type_symbol
_atom_site_fract_x
_atom_site_fract_y
_atom_site_fract_z
_atom_site_occupancy
Ti1 Ti 0.1262 0.6575 0.6051 1
Ti2 Ti 0.2917 0.2917 0.2220 1
Ti3 Ti 0.3425 0.8738 0.3949 1
Ti4 Ti 0.6575 0.1262 0.6051 1
Ti5 Ti 0.7083 0.7083 0.7780 1
Ti6 Ti 0.8738 0.3425 0.3949 1
Co1 Co 0.5000 0.5000 0.5000 1
Pb1 Pb 0.0000 0.0000 0.0000 1
Pb2 Pb 0.2172 0.2172 0.7827 1
Pb3 Pb 0.7828 0.7828 0.2173 1
```

Computed properties:
- Formation energy: 144 meV/atom
- Total energy: -6.416 eV per atom
- Spin magnetization: 0.00 μB/f.u.

---

3.
Pm6Sm4Ho: optimized geometry, PBE.

Geometry as CIF:
```
data_Pm6Sm4Ho
_chemical_formula_sum 'Pm6 Sm4 Ho1'
_space_group_name_H-M_alt 'P 1'
_space_group_IT_number 1
_cell_length_a 9.8715
_cell_length_b 9.8715
_cell_length_c 9.8715
_cell_angle_alpha 140.55
_cell_angle_beta 140.55
_cell_angle_gamma 57.02
loop_
_space_group_symop_operation_xyz
'x,y,z'
loop_
_atom_site_label
_atom_site_type_symbol
_atom_site_fract_x
_atom_site_fract_y
_atom_site_fract_z
_atom_site_occupancy
Pm1 Pm 0.0000 0.5000 0.5000 1
Pm2 Pm 0.1929 0.1929 0.6444 1
Pm3 Pm 0.4515 0.8071 0.0000 1
Pm4 Pm 0.5000 0.0000 0.5000 1
Pm5 Pm 0.5485 0.5485 0.3556 1
Pm6 Pm 0.8071 0.4515 0.0000 1
Sm1 Sm 0.0119 0.6357 0.0000 1
Sm2 Sm 0.3643 0.3643 0.3762 1
Sm3 Sm 0.6357 0.0119 0.0000 1
Sm4 Sm 0.9881 0.9881 0.6238 1
Ho1 Ho 0.0000 0.0000 0.0000 1
```

Computed properties:
- Formation energy: 285 meV/atom
- Total energy: -4.438 eV per atom
- Energy above the lowest structure with this stoichiometry: 0 meV per atom
- Spin magnetization: 0.00 μB/f.u.

---

4.
NaMgIn2: optimized geometry, PBE.

Geometry as CIF:
```
data_NaMgIn2
_chemical_formula_sum 'Na1 Mg1 In2'
_space_group_name_H-M_alt 'P 1'
_space_group_IT_number 1
_cell_length_a 3.5760
_cell_length_b 3.5760
_cell_length_c 7.9406
_cell_angle_alpha 90.00
_cell_angle_beta 90.00
_cell_angle_gamma 90.00
loop_
_space_group_symop_operation_xyz
'x,y,z'
loop_
_atom_site_label
_atom_site_type_symbol
_atom_site_fract_x
_atom_site_fract_y
_atom_site_fract_z
_atom_site_occupancy
Na1 Na 0.0000 0.0000 0.0000 1
Mg1 Mg 0.0000 0.0000 0.5000 1
In1 In 0.5000 0.5000 0.2756 1
In2 In 0.5000 0.5000 0.7244 1
```

Computed properties:
- Formation energy: -113 meV/atom
- Total energy: -2.210 eV per atom
- Spin magnetization: 0.00 μB/f.u.

---

5.
Eu2MgPb: optimized geometry, PBE.

Geometry as CIF:
```
data_Eu2MgPb
_chemical_formula_sum 'Eu2 Mg1 Pb1'
_space_group_name_H-M_alt 'P 1'
_space_group_IT_number 1
_cell_length_a 5.6408
_cell_length_b 5.6408
_cell_length_c 5.6408
_cell_angle_alpha 60.00
_cell_angle_beta 60.00
_cell_angle_gamma 60.00
loop_
_space_group_symop_operation_xyz
'x,y,z'
loop_
_atom_site_label
_atom_site_type_symbol
_atom_site_fract_x
_atom_site_fract_y
_atom_site_fract_z
_atom_site_occupancy
Eu1 Eu 0.2500 0.2500 0.2500 1
Eu2 Eu 0.7500 0.7500 0.7500 1
Mg1 Mg 0.0000 0.0000 0.0000 1
Pb1 Pb 0.5000 0.5000 0.5000 1
```

Computed properties:
- Formation energy: -388 meV/atom
- Total energy: -6.851 eV per atom
- Energy above the lowest structure with this stoichiometry: 0 meV per atom
- Spin magnetization: 14.22 μB/f.u.

---

6.
FeIr2Cl: optimized geometry, PBE.

Geometry as CIF:
```
data_FeIr2Cl
_chemical_formula_sum 'Fe1 Ir2 Cl1'
_space_group_name_H-M_alt 'P 1'
_space_group_IT_number 1
_cell_length_a 2.7916
_cell_length_b 2.7916
_cell_length_c 9.6420
_cell_angle_alpha 90.00
_cell_angle_beta 90.00
_cell_angle_gamma 120.60
loop_
_space_group_symop_operation_xyz
'x,y,z'
loop_
_atom_site_label
_atom_site_type_symbol
_atom_site_fract_x
_atom_site_fract_y
_atom_site_fract_z
_atom_site_occupancy
Fe1 Fe 0.0000 0.0000 0.0000 1
Ir1 Ir 0.0000 0.0000 0.5404 1
Ir2 Ir 0.5000 0.5000 0.7770 1
Cl1 Cl 0.5000 0.5000 0.1918 1
```

Computed properties:
- Formation energy without anion corrections: 455 meV per atom
- Total energy: -6.553 eV per atom
- Energy above the lowest structure with this stoichiometry: 115 meV per atom
- Spin magnetization: 2.95 μB/f.u.

---

7.
AlRhPb: optimized geometry, PBE.

Geometry as CIF:
```
data_AlRhPb
_chemical_formula_sum 'Al1 Rh1 Pb1'
_space_group_name_H-M_alt 'P 1'
_space_group_IT_number 1
_cell_length_a 3.2817
_cell_length_b 3.2817
_cell_length_c 6.3705
_cell_angle_alpha 90.00
_cell_angle_beta 90.00
_cell_angle_gamma 120.00
loop_
_space_group_symop_operation_xyz
'x,y,z'
loop_
_atom_site_label
_atom_site_type_symbol
_atom_site_fract_x
_atom_site_fract_y
_atom_site_fract_z
_atom_site_occupancy
Al1 Al 0.0000 0.0000 0.0000 1
Rh1 Rh 0.3333 0.6667 0.7499 1
Pb1 Pb 0.6667 0.3333 0.4086 1
```

Computed properties:
- Formation energy: -153 meV/atom
- Total energy: -5.087 eV per atom
- Energy above the lowest structure with this stoichiometry: 108 meV per atom
- Spin magnetization: 0.00 μB/f.u.

---

8.
Ho2Er2Sc5: optimized geometry, PBE.

Geometry as CIF:
```
data_Ho2Er2Sc5
_chemical_formula_sum 'Ho4 Er4 Sc10'
_space_group_name_H-M_alt 'P 1'
_space_group_IT_number 1
_cell_length_a 8.8337
_cell_length_b 8.8337
_cell_length_c 8.8337
_cell_angle_alpha 97.95
_cell_angle_beta 124.24
_cell_angle_gamma 107.40
loop_
_space_group_symop_operation_xyz
'x,y,z'
loop_
_atom_site_label
_atom_site_type_symbol
_atom_site_fract_x
_atom_site_fract_y
_atom_site_fract_z
_atom_site_occupancy
Ho1 Ho 0.0000 0.0000 0.0000 1
Ho2 Ho 0.0000 0.5000 0.5000 1
Ho3 Ho 0.0193 0.8758 0.6435 1
Ho4 Ho 0.2324 0.3758 0.3565 1
Er1 Er 0.3072 0.0405 0.4786 1
Er2 Er 0.3072 0.3286 0.7667 1
Er3 Er 0.5619 0.5405 0.2333 1
Er4 Er 0.5619 0.8286 0.5214 1
Sc1 Sc 0.0533 0.3435 0.9075 1
Sc2 Sc 0.0533 0.6458 0.2098 1
Sc3 Sc 0.2849 0.7524 0.0325 1
Sc4 Sc 0.4360 0.1458 0.0925 1
Sc5 Sc 0.4360 0.8435 0.7902 1
Sc6 Sc 0.6751 0.3626 0.5630 1
Sc7 Sc 0.6751 0.6121 0.8125 1
Sc8 Sc 0.7199 0.2524 0.9675 1
Sc9 Sc 0.7996 0.1121 0.4370 1
Sc10 Sc 0.7996 0.8626 0.1875 1
```

Computed properties:
- Formation energy: 194 meV/atom
- Total energy: -5.355 eV per atom
- Energy above the lowest structure with this stoichiometry: 89 meV per atom
- Spin magnetization: 0.00 μB/f.u.

---

9.
CaZn2CuPd4: optimized geometry, PBE.

Geometry as CIF:
```
data_CaZn2CuPd4
_chemical_formula_sum 'Ca1 Zn2 Cu1 Pd4'
_space_group_name_H-M_alt 'P 1'
_space_group_IT_number 1
_cell_length_a 8.3235
_cell_length_b 8.3235
_cell_length_c 8.3235
_cell_angle_alpha 30.43
_cell_angle_beta 30.43
_cell_angle_gamma 30.43
loop_
_space_group_symop_operation_xyz
'x,y,z'
loop_
_atom_site_label
_atom_site_type_symbol
_atom_site_fract_x
_atom_site_fract_y
_atom_site_fract_z
_atom_site_occupancy
Ca1 Ca 0.0000 0.0000 0.0000 1
Zn1 Zn 0.2402 0.2402 0.2402 1
Zn2 Zn 0.7598 0.7598 0.7598 1
Cu1 Cu 0.5000 0.5000 0.5000 1
Pd1 Pd 0.1280 0.1280 0.1280 1
Pd2 Pd 0.3939 0.3939 0.3939 1
Pd3 Pd 0.6061 0.6061 0.6061 1
Pd4 Pd 0.8720 0.8720 0.8720 1
```

Computed properties:
- Formation energy: -459 meV/atom
- Total energy: -4.136 eV per atom
- Spin magnetization: 0.00 μB/f.u.

---

10.
Cs3CaLa2S6: optimized geometry, PBE.

Geometry as CIF:
```
data_Cs3CaLa2S6
_chemical_formula_sum 'Cs3 Ca1 La2 S6'
_space_group_name_H-M_alt 'P 1'
_space_group_IT_number 1
_cell_length_a 7.4950
_cell_length_b 7.4950
_cell_length_c 8.4230
_cell_angle_alpha 98.51
_cell_angle_beta 98.51
_cell_angle_gamma 120.01
loop_
_space_group_symop_operation_xyz
'x,y,z'
loop_
_atom_site_label
_atom_site_type_symbol
_atom_site_fract_x
_atom_site_fract_y
_atom_site_fract_z
_atom_site_occupancy
Cs1 Cs 0.0000 0.0000 0.0000 1
Cs2 Cs 0.3354 0.6646 0.0000 1
Cs3 Cs 0.6646 0.3354 0.0000 1
Ca1 Ca 0.5000 0.5000 0.5000 1
La1 La 0.1668 0.8332 0.5000 1
La2 La 0.8332 0.1668 0.5000 1
S1 S 0.1030 0.4377 0.3129 1
S2 S 0.2275 0.2275 0.6859 1
S3 S 0.4377 0.1030 0.3129 1
S4 S 0.5623 0.8970 0.6871 1
S5 S 0.7725 0.7725 0.3141 1
S6 S 0.8970 0.5623 0.6871 1
```

Computed properties:
- Formation energy without anion corrections: -1668 meV per atom
- Total energy: -4.933 eV per atom
- Spin magnetization: 0.00 μB/f.u.

---

11.
HRu: optimized geometry, PBE.

Geometry as CIF:
```
data_HRu
_chemical_formula_sum 'H2 Ru2'
_space_group_name_H-M_alt 'P 1'
_space_group_IT_number 1
_cell_length_a 2.8667
_cell_length_b 2.8667
_cell_length_c 4.1256
_cell_angle_alpha 90.00
_cell_angle_beta 90.00
_cell_angle_gamma 90.00
loop_
_space_group_symop_operation_xyz
'x,y,z'
loop_
_atom_site_label
_atom_site_type_symbol
_atom_site_fract_x
_atom_site_fract_y
_atom_site_fract_z
_atom_site_occupancy
H1 H 0.2500 0.7500 0.0000 1
H2 H 0.7500 0.2500 0.0000 1
Ru1 Ru 0.2500 0.2500 0.2899 1
Ru2 Ru 0.7500 0.7500 0.7101 1
```

Computed properties:
- Total energy: -6.130 eV per atom
- Spin magnetization: 0.00 μB/f.u.

---

12.
H2IrPt2: optimized geometry, PBE.

Geometry as CIF:
```
data_H2IrPt2
_chemical_formula_sum 'H2 Ir1 Pt2'
_space_group_name_H-M_alt 'P 1'
_space_group_IT_number 1
_cell_length_a 6.7510
_cell_length_b 6.7510
_cell_length_c 6.7510
_cell_angle_alpha 155.45
_cell_angle_beta 155.45
_cell_angle_gamma 34.99
loop_
_space_group_symop_operation_xyz
'x,y,z'
loop_
_atom_site_label
_atom_site_type_symbol
_atom_site_fract_x
_atom_site_fract_y
_atom_site_fract_z
_atom_site_occupancy
H1 H 0.2500 0.7500 0.5000 1
H2 H 0.7500 0.2500 0.5000 1
Ir1 Ir 0.0000 0.0000 0.0000 1
Pt1 Pt 0.3502 0.3502 0.0000 1
Pt2 Pt 0.6498 0.6498 0.0000 1
```

Computed properties:
- Total energy: -5.289 eV per atom
- Energy above the lowest structure with this stoichiometry: 113 meV per atom
- Spin magnetization: 0.00 μB/f.u.

---

Please write out number 12 again, unchanged.
H2IrPt2: optimized geometry, PBE.

Geometry as CIF:
```
data_H2IrPt2
_chemical_formula_sum 'H2 Ir1 Pt2'
_space_group_name_H-M_alt 'P 1'
_space_group_IT_number 1
_cell_length_a 6.7510
_cell_length_b 6.7510
_cell_length_c 6.7510
_cell_angle_alpha 155.45
_cell_angle_beta 155.45
_cell_angle_gamma 34.99
loop_
_space_group_symop_operation_xyz
'x,y,z'
loop_
_atom_site_label
_atom_site_type_symbol
_atom_site_fract_x
_atom_site_fract_y
_atom_site_fract_z
_atom_site_occupancy
H1 H 0.2500 0.7500 0.5000 1
H2 H 0.7500 0.2500 0.5000 1
Ir1 Ir 0.0000 0.0000 0.0000 1
Pt1 Pt 0.3502 0.3502 0.0000 1
Pt2 Pt 0.6498 0.6498 0.0000 1
```

Computed properties:
- Total energy: -5.289 eV per atom
- Energy above the lowest structure with this stoichiometry: 113 meV per atom
- Spin magnetization: 0.00 μB/f.u.

---

Q: Among the records above, which one has the lowest total energy?
A: Eu2MgPb